Fe6NiPd12 PBE-GGA optimized geometry; calculated formation energy = -0.050 eV per atom; mass density = 10.16 g cm⁻³
1.0
5.947 3.433 2.229
-5.947 3.433 2.229
0.000 -6.867 2.229
Fe Ni Pd
6 1 12
Cartesian
-1.836 -2.554 2.251
-1.294 2.867 2.251
-3.129 0.313 4.437
3.129 -0.313 2.251
1.294 -2.867 4.437
1.836 2.554 4.437
0.000 0.000 0.000
-3.728 1.802 2.263
0.303 -4.129 2.263
-1.606 0.103 2.241
-3.424 -2.327 4.425
0.714 -1.443 2.241
0.892 1.340 2.241
-0.892 -1.340 4.447
-0.714 1.443 4.447
3.424 2.327 2.263
1.606 -0.103 4.447
-0.303 4.129 4.425
3.728 -1.802 4.425